VASP calculation (PBE-GGA) on a geometry-optimized NaSr4Ca6 structure.

Geometry as CIF:
```
data_NaSr4Ca6
_chemical_formula_sum 'Na1 Sr4 Ca6'
_cell_length_a 3.942
_cell_length_b 12.602
_cell_length_c 12.602
_cell_angle_alpha 120.00
_cell_angle_beta 90.00
_cell_angle_gamma 90.00
_symmetry_space_group_name_H-M 'P 1'
_symmetry_Int_Tables_number 1
_symmetry_space_group_name_Hall 'P 1'
loop_
_atom_site_label
_atom_site_type_symbol
_atom_site_fract_x
_atom_site_fract_y
_atom_site_fract_z
_atom_site_occupancy
Ca1 Ca 0.000 0.497 0.503 1
Ca2 Ca 0.500 0.171 0.829 1
Ca3 Ca 0.500 0.171 0.343 1
Ca4 Ca 0.000 0.497 0.994 1
Ca5 Ca 0.000 0.006 0.503 1
Ca6 Ca 0.500 0.657 0.829 1
Sr1 Sr 0.000 0.333 0.667 1
Sr2 Sr 0.500 0.806 0.612 1
Sr3 Sr 0.500 0.388 0.194 1
Sr4 Sr 0.500 0.806 0.194 1
Na1 Na 0.000 0.000 0.000 1
```

- Total magnetization: 0.000 μB/cell
- Formation energy from the elements: 0.14 eV per atom

VASP calculation (PBE-GGA) on a geometry-optimized Na6SrCa structure.

Geometry as CIF:
```
data_Na6SrCa
_chemical_formula_sum 'Na6 Sr1 Ca1'
_cell_length_a 6.039
_cell_length_b 7.547
_cell_length_c 7.547
_cell_angle_alpha 111.27
_cell_angle_beta 90.00
_cell_angle_gamma 90.00
_symmetry_space_group_name_H-M 'P 1'
_symmetry_Int_Tables_number 1
_symmetry_space_group_name_Hall 'P 1'
loop_
_atom_site_label
_atom_site_type_symbol
_atom_site_fract_x
_atom_site_fract_y
_atom_site_fract_z
_atom_site_occupancy
Na1 Na 0.000 0.581 0.419 1
Na2 Na 0.000 0.075 0.361 1
Na3 Na 0.500 0.431 0.141 1
Na4 Na 0.500 0.859 0.569 1
Na5 Na 0.500 0.912 0.088 1
Na6 Na 0.000 0.639 0.925 1
Ca1 Ca 0.500 0.374 0.626 1
Sr1 Sr 0.000 0.129 0.871 1
```

- Total magnetization: 0.000 μB/cell
- Energy relative to the lowest polymorph listed for this composition: 0 meV per atom
- Formation energy from the elements: 0.05 eV per atom